A relaxed GdZrTlCu crystal. Source: Alexandria, functional GGA-PBE.

Results
As for the crystal system: cubic. Its density of states at the Fermi level is 1.78 states/eV per cell. The value obtained for the mass density is 9.4 Mg/m³. The space-group type is F-43m (216).

abc: 5.058 5.058 5.058
angles: 60.00 60.00 60.00
Each line ends with the local moment (μB).
Fractional positions:
Zr  0.250  0.250  0.250  0.45
Gd  0.750  0.750  0.750  7.19
Tl  0.000  0.000  0.000  -0.03
Cu  0.500  0.500  0.500  0.03



A relaxed TcAs2Ir crystal. Source: Alexandria, functional GGA-PBE.

Results
The energy relative to the lowest polymorph listed for this composition comes out at 304 meV/atom. As for the crystal system: orthorhombic. Its density of states at the Fermi level is 3.05 states/eV per cell. The value obtained for the mass density is 10.3 Mg/m³. The space-group type is Cmm2 (35).

abc: 2.828 2.828 10.236
angles: 90.00 90.00 119.62
Fractional positions:
Ir  0.000  0.000  0.513
As  0.500  0.500  0.303
Tc  0.500  0.500  0.739
As  0.000  0.000  0.945



A relaxed BeAg2Ir crystal. Source: Alexandria, functional GGA-PBE.

Results
As for the crystal system: tetragonal. Its density of states at the Fermi level is 2.06 states/eV per cell. The value obtained for the mass density is 11.7 Mg/m³. The space-group type is P4/mmm (123).

abc: 3.736 3.736 4.246
angles: 90.00 90.00 90.00
Fractional positions:
Ag  0.000  0.000  0.000
Ag  0.500  0.500  0.000
Be  0.500  0.000  0.500
Ir  0.000  0.500  0.500



A relaxed SrNi4Bi12 crystal. Source: Alexandria, functional GGA-PBE.

Results
As for the crystal system: cubic. Its density of states at the Fermi level is 10.83 states/eV per cell. The value obtained for the mass density is 10.1 Mg/m³. The space-group type is Im-3 (204).

abc: 8.455 8.455 8.455
angles: 109.47 109.47 109.47
Fractional positions:
Bi  0.333  0.498  0.165
Ni  0.500  0.000  0.000
Ni  0.000  0.500  0.000
Bi  0.333  0.167  0.835
Bi  0.165  0.667  0.833
Sr  0.000  0.000  0.000
Bi  0.502  0.835  0.667
Ni  0.500  0.500  0.500
Bi  0.167  0.835  0.333
Bi  0.835  0.667  0.502
Ni  0.000  0.000  0.500
Bi  0.833  0.165  0.667
Bi  0.165  0.333  0.498
Bi  0.835  0.333  0.167
Bi  0.667  0.833  0.165
Bi  0.498  0.165  0.333
Bi  0.667  0.502  0.835



Taking the records one at a time from the top gives formation energy values of -0.249 1.061 1.194 -1.946 eV/f.u..